# 1
Here is crystalline Hf2Tl2F at its relaxed geometry from Alexandria. Energies are from PBE.

a b c (Å): 6.2570 6.2570 5.2595
angles (deg): 90.00 90.00 90.00
Space group P4/mbm (No. 127)
Inequivalent atoms, fractional coordinates:
Hf: 0.1660 0.3340 0.0000 (multiplicity 4)
Tl: 0.1763 0.6763 0.5000 (multiplicity 4)
F: 0.0000 0.0000 0.0000 (multiplicity 2)

Properties
raw total energy: -0.4368 Ry per atom
V: 20.6 Å³ per atom

---

# 2
Here is crystalline SbTe2Ru at its relaxed geometry from Alexandria. Energies are from PBE.

a b c (Å): 3.1707 3.1707 10.5583
angles (deg): 90.00 90.00 90.00
Space group P4mm (No. 99)
Inequivalent atoms, fractional coordinates:
Sb: 0.0000 0.0000 0.0000 (multiplicity 1)
Te: 0.0000 0.0000 0.6741 (multiplicity 1)
Te: 0.5000 0.5000 0.3399 (multiplicity 1)
Ru: 0.5000 0.5000 0.8246 (multiplicity 1)

Properties
raw total energy: -0.3572 Ry per atom
V: 26.5 Å³ per atom